A plane-wave DFT calculation with PBEsol was carried out for an optimized crystal structure of KNaLiI2.

```
5
Lattice="5.593 0.000 0.000 0.000 5.593 0.000 0.000 0.000 5.994" Properties=species:S:1:pos:R:3 pbc="T T T"
I 2.797 0.000 0.000
Li 0.000 0.000 0.000
I 0.000 2.797 0.000
Na 2.797 2.797 2.997
K 0.000 0.000 2.997
```

Output
ΔE_f (raw)	-0.648	eV per atom
space group	P4/mmm
magnetic moment	0.0	μB per formula unit
V	37.507	A^3/atom